This record from Alexandria via LeMat-Bulk describes Nb2TlMo after structural relaxation. The functional is GGA-PBE.

Unit cell a=4.726 b=4.726 c=4.726 alpha=60.00 beta=60.00 gamma=60.00
Sites, in units of the cell vectors:
Nb1 0.250 0.250 0.250
Tl1 0.500 0.500 0.500
Mo1 0.000 0.000 0.000
Nb2 0.750 0.750 0.750

Formation energy, meV per atom: 385
Energy above the lowest structure with this stoichiometry, meV per atom: 0
Space-group type: Fm-3m (225)
E_tot, eV for the cell shown: -31.798